1.
{
  "formula": "Ti3BeSn",
  "functional": "PBE-GGA",
  "state": "relaxed",
  "lattice": [[4.4148, 0.0000, 0.0000], [0.0000, 4.4148, 0.0000], [0.0000, 0.0000, 4.4148]],
  "species": ["Ti", "Ti", "Ti", "Be", "Sn"],
  "frac_coords": [[0.0000, 0.0000, 0.5000], [0.0000, 0.5000, 0.0000], [0.5000, 0.0000, 0.0000], [0.0000, 0.0000, 0.0000], [0.5000, 0.5000, 0.5000]],
  "de_polymorph_mev_per_atom": 93,
  "energy_ev_per_atom": -6.316,
  "magmom_total_mub_per_atom": 0.000,
  "crystal_system": "cubic",
  "formation_enthalpy_0k_ev_per_fu": -0.16
}


2.
{
  "formula": "Mg3ScS4",
  "functional": "PBE-GGA",
  "state": "relaxed",
  "lattice": [[-2.6165, 2.6165, 5.2662], [2.6165, -2.6165, 5.2662], [2.6165, 2.6165, -5.2662]],
  "species": ["Mg", "Mg", "Mg", "Sc", "S", "S", "S", "S"],
  "frac_coords": [[0.0000, 0.0000, 0.0000], [0.2500, 0.7500, 0.5000], [0.7500, 0.2500, 0.5000], [0.5000, 0.5000, 0.0000], [0.0000, 0.5000, 0.5000], [0.2468, 0.2468, 0.0000], [0.5000, 0.0000, 0.5000], [0.7532, 0.7532, 0.0000]],
  "de_polymorph_mev_per_atom": 10,
  "energy_ev_per_atom": -4.910,
  "magmom_total_mub_per_atom": 0.086,
  "crystal_system": "tetragonal",
  "e_form_raw_ev_per_atom": -1.46
}